DFT (PBE-GGA) results for crystalline CdSb at its relaxed geometry.

Cell: 3.137 5.941 6.364 Å, 90.00 117.03 90.00°
Fractional positions:
Sb: 0.000 0.000 0.000
Sb: 0.000 0.500 0.500
Cd: 0.000 0.500 0.000
Cd: 0.000 0.000 0.500

**Formation energy from raw total energies**: 0.10 eV/f.u.
**Polymorph energy (0 for the lowest one)**: 94 meV per atom
**Symmetry**: No. 12
**Volume**: 106 Å³/cell
**Electronic total energy**: -2.471 eV per atom